No. 1
Material: CaAs3Os
Method: DFT, GGA-PBE
State: optimized geometry

It has space group Pm-3m (No. 221), with a = 5.062 Å, b = 5.062 Å, c = 5.062 Å, α = 90.00°, β = 90.00° and γ = 90.00°. The inequivalent atoms are Ca at (0.000, 0.000, 0.000), As at (0.000, 0.000, 0.500) and Os at (0.500, 0.500, 0.500).

The formation energy is 1943 meV/atom. The energy relative to the lowest polymorph listed for this composition comes out at 1.764 eV per atom.


No. 2
Material: CaAs2Os
Method: DFT, GGA-PBE
State: optimized geometry

It has space group Fm-3m (No. 225), with a = 6.547 Å, b = 6.547 Å, c = 6.547 Å, α = 90.00°, β = 90.00° and γ = 90.00°. The inequivalent atoms are Ca at (0.000, 0.000, 0.000), As at (0.250, 0.250, 0.250) and Os at (0.000, 0.000, 0.500).

The formation energy is -133 meV/atom. The energy relative to the lowest polymorph listed for this composition comes out at 0.268 eV per atom.


No. 3
Material: CaAsOs2
Method: DFT, GGA-PBE
State: optimized geometry

It has space group Immm (No. 71), with a = 2.978 Å, b = 4.789 Å, c = 9.528 Å, α = 90.00°, β = 90.00° and γ = 90.00°. The inequivalent atoms are Ca at (0.000, 0.000, 0.000), As at (0.000, 0.000, 0.500) and Os at (0.000, 0.500, 0.214).

The formation energy is 371 meV/atom.


| no. | total DFT energy (no corrections) (eV/atom) | N(E_F) (states/eV/f.u.) | M_tot (μB/cell) |
| --- | --- | --- | --- |
| 1 | -3.4934 | 7.3 | 0.0 |
| 2 | -5.7653 | 0.6 | 0.0 |
| 3 | -6.9071 | 3.8 | 0.0 |